No. 1
Compound: LiAlBi2S5
Source: Alexandria via LeMat-Bulk
Functional: PBE
Structure: relaxed

Unit cell a=3.8264 b=17.4673 c=12.1212 alpha=90.00 beta=90.00 gamma=90.00
With the nearest neighbours (Å) after each atom.
Space group Cmc2_1 (No. 36)
Symmetry-distinct sites (fractional):
Li: 0.0000 0.1856 0.0000 (multiplicity 4)  6 S 2.52-2.78
Al: 0.0000 0.4511 0.4078 (multiplicity 4)  4 S 2.26-2.29
Bi: 0.0000 0.1364 0.3103 (multiplicity 4)  6 S 2.77-3.01
Bi: 0.0000 0.1508 0.6603 (multiplicity 4)  5 S 2.61-2.88
S: 0.0000 0.0359 0.0088 (multiplicity 4)  2 Al 2.28
S: 0.0000 0.3005 0.6604 (multiplicity 4)  3 Bi 2.61-2.86, 2 Li 2.74
S: 0.0000 0.3300 0.3355 (multiplicity 4)  1 Al 2.29
S: 0.0000 0.3297 0.9952 (multiplicity 4)  1 Li 2.52, 2 Bi 2.79
S: 0.0000 0.4725 0.7576 (multiplicity 4)  1 Al 2.26

Computed properties:
Magnetic moment = 0.00 μB/f.u.
Total DFT energy (no corrections) = -4.49 eV per atom



No. 2
Compound: Li2AlBiSe4
Source: Alexandria via LeMat-Bulk
Functional: PBE
Structure: relaxed

Unit cell a=7.7620 b=8.0905 c=11.2577 alpha=90.00 beta=90.00 gamma=90.00
With the nearest neighbours (Å) after each atom.
Space group Imma (No. 74)
Symmetry-distinct sites (fractional):
Li: 0.0000 0.0000 0.0000 (multiplicity 4)  6 Se 2.71-2.74
Li: 0.2500 0.2500 0.2500 (multiplicity 4)  6 Se 2.95-3.01
Al: 0.2500 0.2500 0.7500 (multiplicity 4)  6 Se 2.63-2.66
Bi: 0.0000 0.0000 0.5000 (multiplicity 4)  6 Se 2.91
Se: 0.0000 0.0252 0.7575 (multiplicity 8)  2 Al 2.66, 3 Li 2.74-2.95, 1 Bi 2.91
Se: 0.2317 0.2500 0.9833 (multiplicity 8)  1 Al 2.63, 2 Li 2.71, 2 Bi 2.91

Computed properties:
Magnetic moment = 0.00 μB/f.u.
Total DFT energy (no corrections) = -4.00 eV per atom



No. 3
Compound: Li2AlBiTe
Source: Alexandria via LeMat-Bulk
Functional: PBE
Structure: relaxed

Unit cell a=4.9355 b=4.9355 c=5.6643 alpha=90.00 beta=90.00 gamma=90.00
With the nearest neighbours (Å) after each atom.
Space group P4/mmm (No. 123)
Symmetry-distinct sites (fractional):
Li: 0.0000 0.5000 0.0000 (multiplicity 2)  2 Te 2.47
Al: 0.0000 0.0000 0.5000 (multiplicity 1)  2 Te 2.83
Bi: 0.5000 0.5000 0.5000 (multiplicity 1)  4 Al 3.49, 8 Li 3.76
Te: 0.0000 0.0000 0.0000 (multiplicity 1)  4 Li 2.47

Computed properties:
Magnetic moment = 0.00 μB/f.u.
Total DFT energy (no corrections) = -2.98 eV per atom



No. 4
Compound: Li2AlBiTe
Source: Alexandria via LeMat-Bulk
Functional: PBE
Structure: relaxed

Unit cell a=4.9645 b=4.9645 c=6.3854 alpha=90.00 beta=90.00 gamma=90.00
With the nearest neighbours (Å) after each atom.
Space group P4/mmm (No. 123)
Symmetry-distinct sites (fractional):
Li: 0.0000 0.5000 0.0000 (multiplicity 2)  2 Te 2.48
Al: 0.0000 0.0000 0.5000 (multiplicity 1)  4 Bi 3.51
Bi: 0.5000 0.5000 0.5000 (multiplicity 1)  2 Te 3.19, 4 Al 3.51
Te: 0.5000 0.5000 0.0000 (multiplicity 1)  4 Li 2.48

Computed properties:
Magnetic moment = 0.00 μB/f.u.
Total DFT energy (no corrections) = -2.89 eV per atom



No. 5
Compound: LiTi2AlBi
Source: Alexandria via LeMat-Bulk
Functional: PBE
Structure: relaxed

Unit cell a=4.8420 b=4.8420 c=5.4581 alpha=90.00 beta=90.00 gamma=90.00
With the nearest neighbours (Å) after each atom.
Space group P4/mmm (No. 123)
Symmetry-distinct sites (fractional):
Li: 0.0000 0.0000 0.0000 (multiplicity 1)  4 Bi 3.42, 8 Ti 3.65
Ti: 0.0000 0.5000 0.5000 (multiplicity 2)  2 Al 2.42
Al: 0.5000 0.5000 0.5000 (multiplicity 1)  4 Ti 2.42
Bi: 0.5000 0.5000 0.0000 (multiplicity 1)  2 Al 2.73

Computed properties:
Magnetic moment = 0.00 μB/f.u.
Energy relative to the elements = 0.747 eV per atom



No. 6
Compound: LiAl2VBi
Source: Alexandria via LeMat-Bulk
Functional: PBE
Structure: relaxed

Unit cell a=4.8988 b=4.8988 c=5.1522 alpha=90.00 beta=90.00 gamma=90.00
With the nearest neighbours (Å) after each atom.
Space group P4/mmm (No. 123)
Symmetry-distinct sites (fractional):
Li: 0.0000 0.0000 0.0000 (multiplicity 1)  4 Bi 3.46, 8 Al 3.55
Al: 0.0000 0.5000 0.5000 (multiplicity 2)  2 V 2.45
V: 0.5000 0.5000 0.5000 (multiplicity 1)  4 Al 2.45, 2 Bi 2.58
Bi: 0.5000 0.5000 0.0000 (multiplicity 1)  2 V 2.58

Computed properties:
Magnetic moment = 0.32 μB/f.u.
Energy relative to the elements = 0.325 eV per atom



No. 7
Compound: LuAl4Bi
Source: Alexandria via LeMat-Bulk
Functional: PBE
Structure: relaxed

Unit cell a=7.8913 b=7.8913 c=7.8913 alpha=90.00 beta=90.00 gamma=90.00
With the nearest neighbours (Å) after each atom.
Space group F-43m (No. 216)
Symmetry-distinct sites (fractional):
Lu: 0.0000 0.0000 0.0000 (multiplicity 4)  12 Al 3.27, 4 Bi 3.42
Al: 0.1250 0.1250 0.6250 (multiplicity 16)  6 Al 2.79
Bi: 0.2500 0.2500 0.2500 (multiplicity 4)  12 Al 3.27, 4 Lu 3.42

Computed properties:
Magnetic moment = 0.00 μB/f.u.
Energy relative to the elements = -0.123 eV per atom



No. 8
Compound: MgAlBi2
Source: Alexandria via LeMat-Bulk
Functional: PBE
Structure: relaxed

Unit cell a=6.7531 b=6.7531 c=12.4383 alpha=90.00 beta=90.00 gamma=90.00
With the nearest neighbours (Å) after each atom.
Space group I-42d (No. 122)
Symmetry-distinct sites (fractional):
Mg: 0.0000 0.0000 0.0000 (multiplicity 4)  4 Bi 2.92
Al: 0.0000 0.0000 0.5000 (multiplicity 4)  4 Bi 2.78
Bi: 0.2325 0.2500 0.6250 (multiplicity 8)  2 Al 2.78, 2 Mg 2.92

Computed properties:
Magnetic moment = 0.00 μB/f.u.
Energy relative to the elements = 0.105 eV per atom



Taking the records one at a time from the top gives volume values of 22.5, 22.1, 27.6, 31.5, 25.6, 24.7, 20.5, 35.5 Å³ per atom.